Entry 1:
{
  "formula": "HgTe3N",
  "functional": "PBE",
  "state": "optimized geometry",
  "lattice_angstrom": [[5.5670, 0.0000, 0.0000], [0.0000, 5.5670, 0.0000], [0.0000, 0.0000, 5.5670]],
  "species": ["Hg", "Te", "Te", "Te", "N"],
  "frac_coords": [[0.0000, 0.0000, 0.0000], [0.0000, 0.0000, 0.5000], [0.0000, 0.5000, 0.0000], [0.5000, 0.0000, 0.0000], [0.5000, 0.5000, 0.5000]],
  "total_magnetization_mub_per_fu": 0.0,
  "formation_energy_uncorrected_mev_per_atom": 1962
}



Entry 2:
{
  "formula": "Cu2TcNi",
  "functional": "PBE",
  "state": "optimized geometry",
  "lattice_angstrom": [[2.5268, -4.3726, 0.0000], [2.5268, 4.3726, 0.0000], [-1.0176, 0.0000, 2.2718]],
  "species": ["Cu", "Cu", "Tc", "Ni"],
  "frac_coords": [[0.0000, 0.5000, 0.0000], [0.5000, 0.0000, 0.0000], [0.0000, 0.0000, 0.5000], [0.5000, 0.5000, 0.5000]],
  "formation_enthalpy_0k_kj_per_mol_fu": 90.6,
  "total_magnetization_mub_per_fu": 0.7
}



Entry 3:
{
  "formula": "KCoGe2",
  "functional": "PBE",
  "state": "optimized geometry",
  "lattice_angstrom": [[-3.0171, 3.0171, 6.2923], [3.0171, -3.0171, 6.2923], [3.0171, 3.0171, -6.2923]],
  "species": ["K", "K", "Co", "Co", "Ge", "Ge", "Ge", "Ge"],
  "frac_coords": [[0.3750, 0.6250, 0.7500], [0.6250, 0.3750, 0.2500], [0.1250, 0.8750, 0.2500], [0.8750, 0.1250, 0.7500], [0.0000, 0.0000, 0.0000], [0.0000, 0.0000, 0.5000], [0.0000, 0.5000, 0.0000], [0.5000, 0.0000, 0.5000]],
  "formation_enthalpy_0k_kj_per_mol_fu": -13.7,
  "total_magnetization_mub_per_fu": 0.0
}



| no. | uncorrected energy (eV per cell) |
| --- | --- |
| 1 | -8.2 |
| 2 | -23.4 |
| 3 | -35.2 |